Entry from the Alexandria database: a PBEsol-optimized structure of NbSe2I (meta-GGA SCAN).

Lattice parameters (Å, degrees): 7.0836 7.1045 7.0836 60.10 90.00 119.90
Positions (direct):
1 Nb 0.5000 0.0000 0.5000
2 Nb 0.2500 0.5000 0.2500
3 Se 0.8750 0.2500 0.5278
4 Se 0.2222 0.7500 0.8750
5 Se 0.5278 0.7500 0.3750
6 Se 0.3750 0.2500 0.2222
7 I 0.0000 0.0000 0.0000
8 I 0.7500 0.5000 0.7500

Output
The value obtained for the uncorrected formation energy is -0.15 eV per atom. As for the space-group type: I-42d (122).